VASP calculation (GGA+U) on a relaxed MoSN2O crystal.

Results
The value obtained for the electronic total energy is -28.35 eV/cell.

Cell: 4.075 4.075 3.776 Å, 90.00 90.00 90.00°
Space group P4/mmm (No. 123)
Unique sites:
Mo (0.000, 0.000, 0.000)
S (0.500, 0.500, 0.500)
N (0.000, 0.500, 0.000)
O (0.000, 0.000, 0.500)



VASP calculation (GGA+U) on a relaxed SbMoN2O crystal.

Results
The value obtained for the electronic total energy is -31.58 eV/cell.

Cell: 4.087 4.087 3.871 Å, 90.00 90.00 90.00°
Space group P4/mmm (No. 123)
Unique sites:
Sb (0.000, 0.000, 0.000)
Mo (0.500, 0.500, 0.500)
N (0.000, 0.500, 0.500)
O (0.500, 0.500, 0.000)



VASP calculation (GGA+U) on a relaxed SbMoN2O crystal.

Results
The value obtained for the electronic total energy is -29.41 eV/cell.

Cell: 4.088 4.088 3.886 Å, 90.00 90.00 90.00°
Space group P4/mmm (No. 123)
Unique sites:
Sb (0.000, 0.000, 0.000)
Mo (0.500, 0.500, 0.500)
N (0.000, 0.500, 0.000)
O (0.000, 0.000, 0.500)